No. 1
Entry from the Alexandria database: crystalline AcMgSn at its relaxed geometry (GGA-PBE).

```
AcMgSn
1.0
4.8446 0.0000 0.0000
-2.4223 4.1955 0.0000
0.0000 0.0000 4.6753
Ac Mg Sn
1 1 1
Direct
0.0000 0.0000 0.0000
0.3333 0.6667 0.5000
0.6667 0.3333 0.5000
```

Values from the calculation:
Space group: No. 187
Final energy in eV/atom: -3.747
Volume in A^3/atom: 31.676
Relative energy among the computed polymorphs in meV per atom: 32

No. 2
Entry from the Alexandria database: crystalline Ac2Mg3Sn4 at its relaxed geometry (GGA-PBE).

```
Ac2Mg3Sn4
1.0
3.3199 -8.6445 0.0000
3.3199 8.6445 0.0000
0.0000 0.0000 8.8586
Ac Mg Sn
4 6 8
Direct
0.1141 0.8859 0.9150
0.3859 0.6141 0.4150
0.6141 0.3859 0.5850
0.8859 0.1141 0.0850
0.0000 0.0000 0.5000
0.0351 0.4649 0.7500
0.4649 0.0351 0.2500
0.5000 0.5000 0.0000
0.5351 0.9649 0.7500
0.9649 0.5351 0.2500
0.1866 0.8134 0.5458
0.2020 0.2980 0.7500
0.2980 0.2020 0.2500
0.3134 0.6866 0.0458
0.6866 0.3134 0.9542
0.7020 0.7980 0.7500
0.7980 0.7020 0.2500
0.8134 0.1866 0.4542
```

Values from the calculation:
Space group: No. 64
Final energy in eV/atom: -3.722
Volume in A^3/atom: 28.248

No. 3
Entry from the Alexandria database: crystalline AcMg2Sn at its relaxed geometry (GGA-PBE).

```
AcMg2Sn
1.0
3.8687 0.0000 0.0000
0.0000 3.8687 0.0000
0.0000 0.0000 7.7617
Ac Mg Sn
1 2 1
Direct
0.0000 0.0000 0.0000
0.5000 0.5000 0.2985
0.5000 0.5000 0.7015
0.0000 0.0000 0.5000
```

Values from the calculation:
Space group: No. 123
Final energy in eV/atom: -2.966
Volume in A^3/atom: 29.042
Relative energy among the computed polymorphs in meV per atom: 227

No. 4
Entry from the Alexandria database: crystalline Ac2Mg16Sn at its relaxed geometry (GGA-PBE).

```
Ac2Mg16Sn
1.0
5.2332 3.0214 5.0974
-5.2332 3.0214 5.0974
0.0000 -6.0428 5.0974
Ac Mg Sn
2 16 1
Direct
0.0000 0.0000 0.0000
0.3377 0.3377 0.3377
0.0189 0.0189 0.5058
0.0189 0.5058 0.0189
0.1718 0.6671 0.6671
0.3214 0.3214 0.8281
0.3214 0.8281 0.3214
0.3671 0.6683 0.9707
0.3671 0.9707 0.6683
0.5058 0.0189 0.0189
0.5759 0.5759 0.5759
0.6671 0.1718 0.6671
0.6671 0.6671 0.1718
0.6683 0.3671 0.9707
0.6683 0.9707 0.3671
0.8281 0.3214 0.3214
0.9707 0.3671 0.6683
0.9707 0.6683 0.3671
0.7699 0.7699 0.7699
```

Values from the calculation:
Space group: No. 160
Final energy in eV/atom: -2.102
Volume in A^3/atom: 25.452

No. 5
Entry from the Alexandria database: crystalline AcMgSn at its relaxed geometry (GGA-PBE).

```
AcMgSn
1.0
-2.5106 2.5106 8.0220
2.5106 -2.5106 8.0220
2.5106 2.5106 -8.0220
Ac Mg Sn
2 2 2
Direct
0.0000 0.5000 0.5000
0.5000 0.0000 0.5000
0.1726 0.1726 0.0000
0.8274 0.8274 0.0000
0.3512 0.3512 0.0000
0.6488 0.6488 0.0000
```

Values from the calculation:
Space group: No. 139
Final energy in eV/atom: -3.359
Volume in A^3/atom: 33.709
Relative energy among the computed polymorphs in meV per atom: 419

No. 6
Entry from the Alexandria database: crystalline AcMg2Sn at its relaxed geometry (GGA-PBE).

```
AcMg2Sn
1.0
0.0000 3.8298 3.8298
3.8298 0.0000 3.8298
3.8298 3.8298 0.0000
Ac Mg Sn
1 2 1
Direct
0.0000 0.0000 0.0000
0.2500 0.2500 0.2500
0.7500 0.7500 0.7500
0.5000 0.5000 0.5000
```

Values from the calculation:
Space group: No. 225
Final energy in eV/atom: -2.946
Volume in A^3/atom: 28.087
Relative energy among the computed polymorphs in meV per atom: 247

No. 7
Entry from the Alexandria database: crystalline AcMgSn at its relaxed geometry (GGA-PBE).

```
AcMgSn
1.0
4.9791 0.0000 0.0000
-2.4895 4.3120 0.0000
0.0000 0.0000 12.9788
Ac Mg Sn
3 3 3
Direct
0.0000 0.0000 0.0000
0.0000 0.0000 0.3322
0.0000 0.0000 0.6678
0.3333 0.6667 0.1409
0.3333 0.6667 0.8591
0.6667 0.3333 0.5000
0.3333 0.6667 0.5000
0.6667 0.3333 0.1820
0.6667 0.3333 0.8180
```

Values from the calculation:
Space group: No. 187
Final energy in eV/atom: -3.778
Volume in A^3/atom: 30.961
Relative energy among the computed polymorphs in meV per atom: 0

No. 8
Entry from the Alexandria database: crystalline AcMgSn2 at its relaxed geometry (GGA-PBE).

```
AcMgSn2
1.0
1.8049 1.0420 10.3947
-1.8049 1.0420 10.3947
0.0000 -2.0841 10.3947
Ac Mg Sn
1 1 2
Direct
0.0000 0.0000 0.0000
0.5000 0.5000 0.5000
0.2403 0.2403 0.2403
0.7597 0.7597 0.7597
```

Values from the calculation:
Space group: No. 166
Final energy in eV/atom: -3.648
Volume in A^3/atom: 29.325

No. 9
Entry from the Alexandria database: crystalline Ac8MgSn2 at its relaxed geometry (GGA-PBE).

```
Ac8MgSn2
1.0
10.4928 -2.8198 0.0000
10.4928 2.8198 0.0000
-1.8515 0.0000 7.4105
Ac Mg Sn
8 1 2
Direct
0.0205 0.0205 0.2668
0.2071 0.2071 0.8230
0.3392 0.3392 0.5136
0.4077 0.4077 0.0226
0.5923 0.5923 0.9774
0.6608 0.6608 0.4864
0.7929 0.7929 0.1770
0.9795 0.9795 0.7332
0.5000 0.5000 0.5000
0.1829 0.1829 0.2512
0.8171 0.8171 0.7488
```

Values from the calculation:
Space group: No. 12
Final energy in eV/atom: -4.071
Volume in A^3/atom: 39.865

No. 10
Entry from the Alexandria database: crystalline Ac8MgSn6 at its relaxed geometry (GGA-PBE).

```
Ac8MgSn6
1.0
5.0164 2.8962 6.8758
-5.0164 2.8962 6.8758
0.0000 -5.7925 6.8758
Ac Mg Sn
8 1 6
Direct
0.1150 0.3963 0.6996
0.1676 0.1676 0.1676
0.3004 0.8850 0.6037
0.3963 0.6996 0.1150
0.6037 0.3004 0.8850
0.6996 0.1150 0.3963
0.8324 0.8324 0.8324
0.8850 0.6037 0.3004
0.5000 0.5000 0.5000
0.0642 0.7873 0.4328
0.2127 0.5672 0.9358
0.4328 0.0642 0.7873
0.5672 0.9358 0.2127
0.7873 0.4328 0.0642
0.9358 0.2127 0.5672
```

Values from the calculation:
Space group: No. 148
Final energy in eV/atom: -4.414
Volume in A^3/atom: 39.959

No. 11
Entry from the Alexandria database: crystalline AcMgSn6 at its relaxed geometry (GGA-PBE).

```
AcMgSn6
1.0
4.9373 0.0000 0.0000
0.0000 4.9373 0.0000
0.0000 0.0000 9.1314
Ac Mg Sn
1 1 6
Direct
0.0000 0.0000 0.0000
0.0000 0.0000 0.5000
0.0000 0.5000 0.2735
0.0000 0.5000 0.7265
0.5000 0.0000 0.2735
0.5000 0.0000 0.7265
0.5000 0.5000 0.0000
0.5000 0.5000 0.5000
```

Values from the calculation:
Space group: No. 123
Final energy in eV/atom: -3.964
Volume in A^3/atom: 27.824
Relative energy among the computed polymorphs in meV per atom: 0

No. 12
Entry from the Alexandria database: crystalline AcMg12Sn6 at its relaxed geometry (GGA-PBE).

```
AcMg12Sn6
1.0
6.7998 3.9258 3.1551
-6.7998 3.9258 3.1551
0.0000 -7.8517 3.1551
Ac Mg Sn
1 12 6
Direct
0.0000 0.0000 0.0000
0.1091 0.5000 0.8909
0.1091 0.8909 0.5000
0.1836 0.4228 0.4228
0.4228 0.1836 0.4228
0.4228 0.4228 0.1836
0.5000 0.1091 0.8909
0.5000 0.8909 0.1091
0.5772 0.5772 0.8164
0.5772 0.8164 0.5772
0.8164 0.5772 0.5772
0.8909 0.1091 0.5000
0.8909 0.5000 0.1091
0.2379 0.7332 0.7332
0.2668 0.2668 0.7621
0.2668 0.7621 0.2668
0.7332 0.2379 0.7332
0.7332 0.7332 0.2379
0.7621 0.2668 0.2668
```

Values from the calculation:
Space group: No. 166
Final energy in eV/atom: -2.581
Volume in A^3/atom: 26.597